Here is a geometry-optimized CeV2TcO8 structure from the Alexandria database. Energies are from PBE+U.

Summary:
N(E_F) (states/eV/atom): 0.153
E (eV/atom): -8.02

```
data_CeV2TcO8
_cell_length_a 6.617
_cell_length_b 6.709
_cell_length_c 6.418
_cell_angle_alpha 90.00
_cell_angle_beta 90.00
_cell_angle_gamma 90.00
_symmetry_space_group_name_H-M 'C m m m'
_symmetry_Int_Tables_number 65
_symmetry_space_group_name_Hall '-C 2 2'
loop_
_atom_site_label
_atom_site_fract_x
_atom_site_fract_y
_atom_site_fract_z
Ce1 0.000 0.000 0.000
V1 0.000 0.500 0.259
Tc1 0.000 0.000 0.500
O1 0.000 0.303 0.500
O2 0.000 0.323 0.000
O3 0.212 0.000 0.280
```